1.
Here is crystalline Tm6CoAu at its relaxed geometry from Alexandria. Energies are from GGA-PBE.

## Properties
Space group: No. 148
Magnetization: 0.000 μB/f.u.
Fermi-level density of states: 1.07 states/eV per atom
ΔH_f (0 K): -1.420 eV per formula unit

Structure (POSCAR):
```
Tm6CoAu
1.0
3.264 1.884 6.263
-3.264 1.884 6.263
0.000 -3.768 6.263
Tm Co Au
6 1 1
direct
0.058 0.412 0.768 Tm
0.232 0.942 0.588 Tm
0.412 0.768 0.058 Tm
0.588 0.232 0.942 Tm
0.768 0.058 0.412 Tm
0.942 0.588 0.232 Tm
0.000 0.000 0.000 Co
0.500 0.500 0.500 Au
```



2.
Here is crystalline PrZr2Pa at its relaxed geometry from Alexandria. Energies are from GGA-PBE.

## Properties
Space group: No. 166
Magnetization: 0.000 μB/f.u.
Fermi-level density of states: 2.06 states/eV per atom
ΔH_f (0 K): 1.201 eV per formula unit

Structure (POSCAR):
```
PrZr2Pa
1.0
1.639 0.946 11.663
-1.639 0.946 11.663
0.000 -1.893 11.663
Pr Zr Pa
1 2 1
direct
0.000 0.000 0.000 Pr
0.092 0.092 0.092 Zr
0.908 0.908 0.908 Zr
0.500 0.500 0.500 Pa
```



3.
Here is crystalline Cs3Ca2PbF9 at its relaxed geometry from Alexandria. Energies are from GGA-PBE.

## Properties
Space group: No. 164
E_form (uncorrected): -3.16 eV per atom
Magnetization: 0.000 μB/f.u.
Fermi-level density of states: 0.00 states/eV per atom

Structure (POSCAR):
```
Cs3Ca2PbF9
1.0
6.616 0.000 0.000
-3.308 5.730 0.000
0.000 0.000 8.122
Cs Ca Pb F
3 2 1 9
direct
0.000 0.000 0.000 Cs
0.333 0.667 0.667 Cs
0.667 0.333 0.333 Cs
0.333 0.667 0.156 Ca
0.667 0.333 0.844 Ca
0.000 0.000 0.500 Pb
0.000 0.500 0.000 F
0.174 0.347 0.322 F
0.174 0.826 0.322 F
0.347 0.174 0.678 F
0.500 0.000 0.000 F
0.500 0.500 0.000 F
0.653 0.826 0.322 F
0.826 0.174 0.678 F
0.826 0.653 0.678 F
```



> Fermi-level density of states of number 3 (Cs3Ca2PbF9)?

0.00 states/eV per atom